Sc2CuP: optimized geometry, PBE-GGA.

Cell: 3.275 3.275 7.212 Å, 90.00 90.00 103.56°
Atoms (fractional coordinates):
Sc 0.000 0.000 0.061
Sc 0.500 0.500 0.696
Cu 0.000 0.000 0.457
P 0.500 0.500 0.287

Calculated values
ΔH_f (0 K) (eV/atom): -0.308
Symmetry: Cmm2 (35)
DFT total energy (eV per atom): -5.850
Crystal system: orthorhombic